#A
MnMoF2, optimized geometry, DFT PBE+U; magnetic moment = 6.217 μB/f.u.; Fermi-level density of states = 0.475 states/eV per atom; crystal system = cubic
1.0
0.558 0.072 4.241
-3.360 0.551 2.591
-1.408 -3.251 2.398
F Mo Mn
2 1 1
Cartesian
-1.053 -0.657 2.308 F
-3.158 -1.971 6.923 F
-2.105 -1.314 4.615 Mo
0.000 0.000 0.000 Mn

#B
MnMoF2, optimized geometry, DFT PBE+U; magnetic moment = 6.654 μB/f.u.; Fermi-level density of states = 0.294 states/eV per atom; crystal system = trigonal
1.0
1.758 0.000 7.969
-0.879 1.523 7.969
-0.879 -1.523 7.969
Mn F Mo
1 2 1
Cartesian
0.000 0.000 0.000 Mn
0.000 0.000 2.494 F
0.000 0.000 21.411 F
0.000 0.000 11.953 Mo

The structure with the greatest stability is #B.